Material: SrPm2DyAs4
Method: DFT, PBE
State: relaxed

a = 7.3755 Å, b = 4.2510 Å, c = 7.4110 Å
α = 90.00°, β = 109.36°, γ = 90.00°
Closest atoms and distances in Å follow each position.
Space group P2/m (No. 10)
One atom of each set of equivalent atoms:
Sr: 0.0000 0.0000 0.0000 x1  6 As 3.07-3.08
Pm: 0.5000 0.0000 0.5000 x1  6 As 2.95-2.96
Pm: 0.5000 0.5000 0.0000 x1  6 As 3.05
Dy: 0.0000 0.5000 0.5000 x1  6 As 2.98
As: 0.2494 0.0000 0.7406 x2  3 Pm 2.96-3.05, 2 Dy 2.98, 1 Sr 3.07
As: 0.2579 0.5000 0.2633 x2  3 Pm 2.95-3.05, 1 Dy 2.98, 2 Sr 3.08

Its size of the total moment is 0.00 μB/f.u. Its raw total energy is -5.64 eV/atom. For the formation energy, the calculation gives -1338 meV per atom. As for the crystal system: monoclinic. For the density of states at the Fermi level, the calculation gives 0.561 states/eV per atom.